Record 1
{
  "formula": "LiB2C2",
  "functional": "PBE",
  "state": "relaxed",
  "e_form_ev_per_atom": -0.033,
  "lattice_angstrom": [[5.411, -0.031, 0.058], [-2.732, 4.671, 0.058], [0.077, 0.134, 7.336]],
  "species": ["C", "C", "C", "C", "C", "C", "C", "C", "B", "B", "B", "B", "B", "B", "B", "B", "Li", "Li", "Li", "Li"],
  "frac_coords": [[0.830, 0.170, 0.250], [0.329, 0.172, 0.230], [0.671, 0.828, 0.770], [0.170, 0.830, 0.750], [0.172, 0.329, 0.730], [0.671, 0.329, 0.750], [0.828, 0.671, 0.270], [0.329, 0.671, 0.250], [0.336, 0.664, 0.750], [0.168, 0.340, 0.232], [0.664, 0.336, 0.250], [0.832, 0.660, 0.768], [0.340, 0.168, 0.732], [0.660, 0.832, 0.268], [0.835, 0.165, 0.750], [0.165, 0.835, 0.250], [0.000, 0.000, 0.500], [0.000, 0.000, 0.000], [0.000, 0.500, 0.500], [0.500, 0.000, 0.000]]
}

Record 2
{
  "formula": "YTaMn2C",
  "functional": "PBE",
  "state": "relaxed",
  "e_form_ev_per_atom": 0.383,
  "lattice_angstrom": [[3.956, 0.000, 0.000], [0.000, 4.747, 0.000], [0.000, 0.000, 3.956]],
  "species": ["Mn", "Mn", "Y", "Ta", "C"],
  "frac_coords": [[0.500, 0.000, 0.000], [0.000, 0.000, 0.500], [0.000, 0.500, 0.000], [0.500, 0.500, 0.500], [0.000, 0.000, 0.000]]
}

Record 3
{
  "formula": "MnZnMo",
  "functional": "PBE",
  "state": "relaxed",
  "e_form_ev_per_atom": 0.150,
  "lattice_angstrom": [[-5.980, 2.459, -0.436], [-6.364, 0.048, 0.581], [-0.247, 1.445, 2.201]],
  "species": ["Mn", "Zn", "Mo"],
  "frac_coords": [[0.002, 0.002, 0.998], [0.661, 0.661, 0.339], [0.338, 0.338, 0.662]]
}

Record 4
{
  "formula": "TiW",
  "functional": "PBE",
  "state": "relaxed",
  "e_form_ev_per_atom": 0.171,
  "lattice_angstrom": [[6.524, 0.000, 0.000], [0.000, 5.053, 0.000], [0.000, 0.000, 8.063]],
  "species": ["Ti", "Ti", "Ti", "Ti", "Ti", "Ti", "Ti", "Ti", "W", "W", "W", "W", "W", "W", "W", "W"],
  "frac_coords": [[0.357, 0.250, 0.500], [0.832, 0.750, 0.804], [0.143, 0.750, 0.000], [0.857, 0.250, 0.000], [0.332, 0.750, 0.696], [0.668, 0.250, 0.304], [0.168, 0.250, 0.196], [0.643, 0.750, 0.500], [0.500, 0.000, 0.000], [0.830, 0.750, 0.202], [0.500, 0.500, 0.000], [0.330, 0.750, 0.298], [0.000, 0.000, 0.500], [0.670, 0.250, 0.702], [0.170, 0.250, 0.798], [0.000, 0.500, 0.500]]
}

Record 5
{
  "formula": "PmNdAgAs",
  "functional": "PBE",
  "state": "relaxed",
  "e_form_ev_per_atom": -0.650,
  "lattice_angstrom": [[-1.097, -4.803, -1.695], [1.893, -1.646, -4.566], [3.729, -3.637, -0.115]],
  "species": ["Nd", "As", "Ag", "Pm"],
  "frac_coords": [[0.000, 0.000, 0.000], [0.250, 0.250, 0.250], [0.750, 0.750, 0.750], [0.500, 0.500, 0.500]]
}

Record 6
{
  "formula": "Tm2Th3Pb3",
  "functional": "PBE",
  "state": "relaxed",
  "e_form_ev_per_atom": -0.236,
  "lattice_angstrom": [[4.606, 0.000, 0.000], [-2.303, 6.673, 0.000], [0.000, 0.000, 16.177]],
  "species": ["Tm", "Tm", "Tm", "Tm", "Pb", "Pb", "Pb", "Pb", "Pb", "Pb", "Th", "Th", "Th", "Th", "Th", "Th"],
  "frac_coords": [[0.772, 0.545, 0.900], [0.228, 0.455, 0.100], [0.228, 0.455, 0.400], [0.772, 0.545, 0.600], [0.607, 0.214, 0.034], [0.370, 0.739, 0.250], [0.393, 0.786, 0.534], [0.393, 0.786, 0.966], [0.607, 0.214, 0.466], [0.630, 0.261, 0.750], [0.952, 0.903, 0.119], [0.636, 0.271, 0.250], [0.048, 0.097, 0.881], [0.048, 0.097, 0.619], [0.952, 0.903, 0.381], [0.364, 0.729, 0.750]]
}

Record 7
{
  "formula": "HfV2S6",
  "functional": "PBE",
  "state": "relaxed",
  "energy_ev_per_atom": -6.712,
  "lattice_angstrom": [[4.208, 0.000, 0.000], [2.104, 5.843, -0.293], [2.104, 2.109, 7.335]],
  "species": ["S", "S", "S", "S", "S", "S", "V", "V", "Hf"],
  "frac_coords": [[0.970, 0.841, 0.220], [0.649, 0.327, 0.376], [0.351, 0.673, 0.624], [0.030, 0.159, 0.780], [0.297, 0.357, 0.049], [0.703, 0.643, 0.951], [0.857, 0.212, 0.074], [0.143, 0.788, 0.926], [0.000, 0.500, 0.500]]
}

Record 8
{
  "formula": "Tb2SiNi",
  "functional": "PBE",
  "state": "relaxed",
  "energy_ev_per_atom": -5.743,
  "lattice_angstrom": [[-1.614, -2.411, 2.896], [5.048, 0.016, 2.827], [-4.502, 5.908, 2.409]],
  "species": ["Tb", "Tb", "Tb", "Tb", "Ni", "Ni", "Si", "Si"],
  "frac_coords": [[0.250, 0.778, 0.588], [0.750, 0.224, 0.945], [0.750, 0.222, 0.412], [0.250, 0.776, 0.055], [0.750, 0.601, 0.777], [0.250, 0.399, 0.223], [0.750, 0.658, 0.291], [0.250, 0.342, 0.709]]
}

Record 9
{
  "formula": "SrGe2Pt",
  "functional": "PBE",
  "state": "relaxed",
  "e_form_ev_per_atom": -0.701,
  "lattice_angstrom": [[4.273, 0.000, 0.000], [2.136, 3.701, 0.000], [2.136, 1.234, 5.661]],
  "species": ["Pt", "Ge", "Ge", "Sr"],
  "frac_coords": [[0.500, 0.500, 0.500], [0.785, 0.785, 0.645], [0.215, 0.215, 0.355], [0.000, 0.000, 0.000]]
}

Record 10
{
  "formula": "KPr2ZnO5",
  "functional": "PBE",
  "state": "relaxed",
  "energy_ev_per_atom": -6.392,
  "lattice_angstrom": [[-6.033, -1.647, 2.891], [3.145, -0.871, 6.068], [0.526, 6.875, -3.197]],
  "species": ["O", "O", "O", "O", "O", "O", "O", "O", "O", "O", "K", "K", "Pr", "Pr", "Pr", "Pr", "Zn", "Zn"],
  "frac_coords": [[0.500, 0.500, 0.000], [0.237, 0.011, 0.747], [0.000, 0.000, 0.000], [0.763, 0.989, 0.253], [0.511, 0.737, 0.747], [0.989, 0.489, 0.253], [0.263, 0.763, 0.253], [0.011, 0.511, 0.747], [0.737, 0.237, 0.747], [0.489, 0.263, 0.253], [0.250, 0.250, 0.500], [0.750, 0.750, 0.500], [0.174, 0.326, 0.000], [0.826, 0.674, 0.000], [0.674, 0.174, 0.000], [0.326, 0.826, 0.000], [0.250, 0.750, 0.500], [0.750, 0.250, 0.500]]
}

Record 11
{
  "formula": "Sr6TlSn3",
  "functional": "PBE",
  "state": "relaxed",
  "e_form_ev_per_atom": -0.405,
  "lattice_angstrom": [[-5.961, -2.418, 6.377], [-5.442, -2.280, -5.951], [4.290, -9.749, -0.188]],
  "species": ["Tl", "Tl", "Sn", "Sn", "Sn", "Sn", "Sn", "Sn", "Sr", "Sr", "Sr", "Sr", "Sr", "Sr", "Sr", "Sr", "Sr", "Sr", "Sr", "Sr"],
  "frac_coords": [[0.000, 0.000, 0.000], [0.500, 0.500, 0.500], [0.959, 0.338, 0.745], [0.041, 0.662, 0.255], [0.500, 0.500, 0.000], [0.459, 0.162, 0.245], [0.541, 0.838, 0.755], [0.000, 0.000, 0.500], [0.327, 0.849, 0.429], [0.230, 0.071, 0.751], [0.270, 0.571, 0.749], [0.827, 0.651, 0.929], [0.832, 0.664, 0.571], [0.730, 0.429, 0.251], [0.668, 0.164, 0.929], [0.770, 0.929, 0.249], [0.168, 0.336, 0.429], [0.332, 0.836, 0.071], [0.673, 0.151, 0.571], [0.173, 0.349, 0.071]]
}

Record 12
{
  "formula": "Ce2TmPd4",
  "functional": "PBE",
  "state": "relaxed",
  "e_form_ev_per_atom": -0.498,
  "lattice_angstrom": [[-3.747, -3.544, 1.187], [0.157, 1.456, -5.086], [6.389, -3.680, 0.249]],
  "species": ["Pd", "Pd", "Pd", "Pd", "Ce", "Ce", "Tm"],
  "frac_coords": [[0.000, 0.500, 0.000], [0.009, 0.338, 0.347], [0.500, 0.000, 0.000], [0.991, 0.662, 0.653], [0.605, 0.716, 0.321], [0.395, 0.284, 0.679], [0.000, 0.000, 0.000]]
}

Record 13
{
  "formula": "YMgP2Cl",
  "functional": "PBE",
  "state": "relaxed",
  "energy_ev_per_atom": -4.541,
  "lattice_angstrom": [[-1.554, -3.382, 3.032], [0.514, -3.315, -3.434], [4.508, -0.786, 1.433]],
  "species": ["P", "P", "Mg", "Y", "Cl"],
  "frac_coords": [[0.000, 0.500, 0.000], [0.500, 0.000, 0.000], [0.000, 0.000, 0.000], [0.500, 0.500, 0.500], [0.000, 0.000, 0.500]]
}

Record 14
{
  "formula": "Na6B4Sb2PO16",
  "functional": "PBE",
  "state": "relaxed",
  "energy_ev_per_atom": -6.416,
  "lattice_angstrom": [[-6.669, 5.571, -5.111], [-1.235, -1.440, -9.901], [-8.482, -4.208, -3.462]],
  "species": ["Sb", "Sb", "Sb", "Sb", "O", "O", "O", "O", "O", "O", "O", "O", "O", "O", "O", "O", "O", "O", "O", "O", "O", "O", "O", "O", "O", "O", "O", "O", "O", "O", "O", "O", "O", "O", "O", "O", "Na", "Na", "Na", "Na", "Na", "Na", "Na", "Na", "Na", "Na", "Na", "Na", "P", "P", "B", "B", "B", "B", "B", "B", "B", "B"],
  "frac_coords": [[0.625, 0.125, 0.625], [0.125, 0.625, 0.625], [0.625, 0.625, 0.625], [0.625, 0.625, 0.125], [0.718, 0.990, 0.478], [0.772, 0.260, 0.435], [0.772, 0.532, 0.260], [0.260, 0.532, 0.435], [0.063, 0.810, 0.063], [0.532, 0.260, 0.772], [0.435, 0.772, 0.260], [0.260, 0.772, 0.532], [0.815, 0.718, 0.478], [0.063, 0.063, 0.063], [0.187, 0.440, 0.187], [0.990, 0.815, 0.478], [0.990, 0.718, 0.815], [0.990, 0.478, 0.718], [0.718, 0.815, 0.990], [0.478, 0.718, 0.990], [0.187, 0.187, 0.187], [0.772, 0.435, 0.532], [0.435, 0.260, 0.532], [0.532, 0.435, 0.260], [0.187, 0.187, 0.440], [0.532, 0.772, 0.435], [0.810, 0.063, 0.063], [0.063, 0.063, 0.810], [0.718, 0.478, 0.815], [0.815, 0.990, 0.718], [0.478, 0.815, 0.718], [0.478, 0.990, 0.815], [0.435, 0.532, 0.772], [0.815, 0.478, 0.990], [0.440, 0.187, 0.187], [0.260, 0.435, 0.772], [0.202, 0.202, 0.798], [0.048, 0.452, 0.452], [0.798, 0.202, 0.202], [0.202, 0.798, 0.798], [0.048, 0.048, 0.452], [0.798, 0.798, 0.202], [0.048, 0.452, 0.048], [0.798, 0.202, 0.798], [0.452, 0.048, 0.452], [0.452, 0.048, 0.048], [0.452, 0.452, 0.048], [0.202, 0.798, 0.202], [0.250, 0.250, 0.250], [0.000, 0.000, 0.000], [0.410, 0.410, 0.769], [0.481, 0.840, 0.840], [0.410, 0.769, 0.410], [0.840, 0.840, 0.481], [0.410, 0.410, 0.410], [0.840, 0.840, 0.840], [0.769, 0.410, 0.410], [0.840, 0.481, 0.840]]
}

Record 15
{
  "formula": "In4Hg2Br3",
  "functional": "PBE",
  "state": "relaxed",
  "energy_ev_per_atom": -2.196,
  "lattice_angstrom": [[6.494, -0.205, -1.040], [-1.580, 9.917, -1.087], [-0.118, -0.483, 10.089]],
  "species": ["In", "In", "In", "In", "In", "In", "In", "In", "Br", "Br", "Br", "Br", "Br", "Br", "Hg", "Hg", "Hg", "Hg"],
  "frac_coords": [[0.621, 0.687, 0.674], [0.121, 0.674, 0.687], [0.462, 0.748, 0.009], [0.038, 0.991, 0.252], [0.538, 0.252, 0.991], [0.379, 0.313, 0.326], [0.879, 0.326, 0.313], [0.962, 0.009, 0.748], [0.557, 0.014, 0.213], [0.057, 0.213, 0.014], [0.750, 0.404, 0.596], [0.250, 0.596, 0.404], [0.443, 0.986, 0.787], [0.943, 0.787, 0.986], [0.354, 0.439, 0.803], [0.146, 0.197, 0.561], [0.646, 0.561, 0.197], [0.854, 0.803, 0.439]]
}